The following is a GGA+U calculation of FeTcO2F after structural relaxation, from Alexandria.

Summary:
raw total energy = -32.0 eV for the cell shown

a b c (Å): 3.8585 3.8585 4.3743
angles (deg): 90.00 90.00 90.00
Positions (direct):
F (0.0000, 0.0000, 0.5000)
Tc (0.0000, 0.0000, 0.0000)
O (0.0000, 0.5000, 0.0000)
O (0.5000, 0.0000, 0.0000)
Fe (0.5000, 0.5000, 0.5000)